# 1
A relaxed Y4CoBr5 crystal, computed with PBE-GGA.

**DOS(E_F)**: 3.70 states/eV per cell
**Excess energy over the best structure of this formula in the dataset**: 27 meV per atom
**Space group**: C2/m (12)

Geometry as POSCAR:
```
Y4CoBr5
1.0
-1.619 -0.674 3.481
2.848 -7.901 -0.206
9.670 3.328 2.960
Y Br Co
4 5 1
Direct
0.000 0.790 0.000 Y
0.374 0.002 0.748 Y
0.626 0.998 0.252 Y
0.000 0.210 0.000 Y
0.846 0.246 0.693 Br
0.846 0.760 0.692 Br
0.154 0.754 0.307 Br
0.154 0.240 0.308 Br
0.500 0.500 0.000 Br
0.500 0.000 0.000 Co
```

---

# 2
A relaxed Y3CoBr3 crystal, computed with PBE-GGA.

**DOS(E_F)**: 5.41 states/eV per cell
**Space group**: P2_1/m (11)

Geometry as POSCAR:
```
Y3CoBr3
1.0
4.006 0.000 0.000
0.000 8.517 -0.374
0.000 0.099 11.740
Co Br Y
2 6 6
Direct
0.750 0.059 0.597 Co
0.250 0.941 0.403 Co
0.250 0.424 0.369 Br
0.750 0.134 0.103 Br
0.750 0.655 0.142 Br
0.250 0.866 0.897 Br
0.250 0.345 0.858 Br
0.750 0.576 0.631 Br
0.250 0.899 0.175 Y
0.250 0.271 0.603 Y
0.750 0.101 0.825 Y
0.750 0.729 0.397 Y
0.750 0.138 0.368 Y
0.250 0.862 0.632 Y
```

---

# 3
A relaxed ZnCoBr2 crystal, computed with PBE-GGA.

**DOS(E_F)**: 6.16 states/eV per cell
**Excess energy over the best structure of this formula in the dataset**: 567 meV per atom
**Space group**: P4/mmm (123)

Geometry as POSCAR:
```
ZnCoBr2
1.0
-1.105 4.750 -0.207
-2.973 -0.524 3.836
2.540 0.681 2.062
Co Br Zn
1 2 1
Direct
0.500 0.000 0.500 Co
0.000 0.000 0.000 Br
0.500 0.500 0.000 Br
0.000 0.500 0.500 Zn
```

---

# 4
A relaxed ZnCoBr2 crystal, computed with PBE-GGA.

**DOS(E_F)**: 4.53 states/eV per cell
**Excess energy over the best structure of this formula in the dataset**: 213 meV per atom
**Space group**: P4mm (99)

Geometry as POSCAR:
```
ZnCoBr2
1.0
3.448 0.000 0.000
0.000 3.448 0.000
0.000 0.000 7.535
Br Co Zn
2 1 1
Direct
0.500 0.500 0.351 Br
0.000 0.000 0.888 Br
0.000 0.000 0.571 Co
0.500 0.500 0.689 Zn
```

---

# 5
A relaxed ZnCoBr2 crystal, computed with PBE-GGA.

**DOS(E_F)**: 6.39 states/eV per cell
**Excess energy over the best structure of this formula in the dataset**: 122 meV per atom
**Space group**: C2/m (12)

Geometry as POSCAR:
```
ZnCoBr2
1.0
3.640 0.065 -0.016
1.753 3.191 -0.016
1.963 1.185 9.192
Br Zn Co
2 1 1
Direct
0.027 0.027 0.910 Br
0.473 0.473 0.590 Br
0.250 0.250 0.250 Zn
0.750 0.750 0.750 Co
```

---

# 6
A relaxed ZnCoBr2 crystal, computed with PBE-GGA.

**DOS(E_F)**: 1.97 states/eV per cell
**Excess energy over the best structure of this formula in the dataset**: 313 meV per atom
**Space group**: Pmmm (47)

Geometry as POSCAR:
```
ZnCoBr2
1.0
-3.514 -0.607 -1.618
0.789 -6.688 0.795
-0.851 -4.208 3.428
Br Co Zn
2 1 1
Direct
0.500 0.500 0.000 Br
0.000 0.000 0.000 Br
0.500 0.500 0.500 Co
0.000 0.000 0.500 Zn
```

---

# 7
A relaxed ZnCoBr2 crystal, computed with PBE-GGA.

**DOS(E_F)**: 3.05 states/eV per cell
**Excess energy over the best structure of this formula in the dataset**: 0 meV per atom
**Space group**: Pm (6)

Geometry as POSCAR:
```
ZnCoBr2
1.0
-2.547 -1.003 -2.004
2.200 -2.534 -1.527
-1.029 -6.288 4.455
Co Br Zn
1 2 1
Direct
0.000 0.271 0.585 Co
0.500 0.388 0.355 Br
0.000 0.110 0.894 Br
0.500 0.731 0.666 Zn
```

---

# 8
A relaxed Zn3CoBr9 crystal, computed with PBE-GGA.

**DOS(E_F)**: 10.25 states/eV per cell
**Space group**: Cc (9)

Geometry as POSCAR:
```
Zn3CoBr9
1.0
8.420 0.000 3.543
3.800 10.146 2.745
0.475 -0.146 10.646
Br Zn Co
18 6 2
Direct
0.291 0.219 0.337 Br
0.189 0.847 0.121 Br
0.413 0.757 0.425 Br
0.475 0.501 0.156 Br
0.961 0.449 0.895 Br
0.959 0.556 0.220 Br
0.405 0.257 0.925 Br
0.823 0.083 0.009 Br
0.694 0.949 0.395 Br
0.843 0.347 0.621 Br
0.265 0.056 0.720 Br
0.867 0.001 0.656 Br
0.516 0.284 0.527 Br
0.928 0.220 0.265 Br
0.587 0.720 0.765 Br
0.674 0.784 0.027 Br
0.153 0.719 0.837 Br
0.086 0.583 0.509 Br
0.927 0.034 0.204 Zn
0.645 0.220 0.721 Zn
0.835 0.534 0.704 Zn
0.024 0.965 0.804 Zn
0.414 0.720 0.221 Zn
0.207 0.465 0.304 Zn
0.438 0.123 0.493 Co
0.946 0.623 0.993 Co
```

---

# 9
A relaxed ZnCoBr2 crystal, computed with PBE-GGA.

**DOS(E_F)**: 2.97 states/eV per cell
**Excess energy over the best structure of this formula in the dataset**: 123 meV per atom
**Space group**: R-3m (166)

Geometry as POSCAR:
```
ZnCoBr2
1.0
0.224 -4.718 8.698
3.781 -4.469 7.981
2.040 -1.681 9.538
Co Br Zn
1 2 1
Direct
0.500 0.500 0.500 Co
0.116 0.116 0.116 Br
0.884 0.884 0.884 Br
0.000 0.000 0.000 Zn
```

---

# 10
A relaxed ZnCoBr crystal, computed with PBE-GGA.

**DOS(E_F)**: 1.57 states/eV per cell
**Excess energy over the best structure of this formula in the dataset**: 135 meV per atom
**Space group**: I4mm (107)

Geometry as POSCAR:
```
ZnCoBr
1.0
6.395 -0.025 0.000
4.901 4.108 0.000
-5.648 -2.041 2.197
Br Co Zn
1 1 1
Direct
0.958 0.958 0.000 Br
0.327 0.327 0.000 Co
0.716 0.716 0.000 Zn
```

---

# 11
A relaxed ZnCoBr crystal, computed with PBE-GGA.

**DOS(E_F)**: 3.40 states/eV per cell
**Excess energy over the best structure of this formula in the dataset**: 196 meV per atom
**Space group**: Fmm2 (42)

Geometry as POSCAR:
```
ZnCoBr
1.0
-5.019 4.527 0.911
-6.086 1.657 -0.597
-0.566 0.702 3.292
Zn Br Co
1 1 1
Direct
0.685 0.685 0.315 Zn
0.982 0.982 0.018 Br
0.334 0.334 0.666 Co
```

---

# 12
A relaxed ZnCoBr2 crystal, computed with PBE-GGA.

**DOS(E_F)**: 3.83 states/eV per cell
**Excess energy over the best structure of this formula in the dataset**: 33 meV per atom
**Space group**: Immm (71)

Geometry as POSCAR:
```
ZnCoBr2
1.0
7.114 2.941 -0.792
3.841 6.671 0.792
-4.794 -5.585 2.390
Zn Br Co
1 2 1
Direct
0.750 0.250 0.500 Zn
0.121 0.121 0.000 Br
0.379 0.379 0.000 Br
0.250 0.750 0.500 Co
```

---

# 13
A relaxed ZnCoBr2 crystal, computed with PBE-GGA.

**DOS(E_F)**: 5.70 states/eV per cell
**Excess energy over the best structure of this formula in the dataset**: 159 meV per atom
**Space group**: Cmm2 (35)

Geometry as POSCAR:
```
ZnCoBr2
1.0
-2.982 -1.742 1.436
3.018 -1.733 -1.370
3.820 0.195 8.171
Co Br Zn
1 2 1
Direct
0.000 0.000 0.515 Co
0.000 0.000 0.919 Br
0.500 0.500 0.343 Br
0.500 0.500 0.724 Zn
```

---

# 14
A relaxed ZnCoBr2 crystal, computed with PBE-GGA.

**DOS(E_F)**: 4.06 states/eV per cell
**Excess energy over the best structure of this formula in the dataset**: 384 meV per atom
**Space group**: C2/m (12)

Geometry as POSCAR:
```
ZnCoBr2
1.0
5.752 0.330 -0.107
0.618 5.728 -0.107
1.696 1.613 2.973
Br Zn Co
2 1 1
Direct
0.000 0.000 0.000 Br
0.500 0.500 0.000 Br
0.000 0.500 0.500 Zn
0.500 0.000 0.500 Co
```

---

# 15
A relaxed ZnCoBr2 crystal, computed with PBE-GGA.

**DOS(E_F)**: 5.33 states/eV per cell
**Excess energy over the best structure of this formula in the dataset**: 252 meV per atom
**Space group**: Cmmm (65)

Geometry as POSCAR:
```
ZnCoBr2
1.0
-3.422 -0.310 2.460
0.757 -1.416 -3.909
3.447 -8.456 3.730
Zn Br Co
1 2 1
Direct
0.500 0.500 0.750 Zn
0.000 0.000 0.420 Br
0.000 0.000 0.080 Br
0.500 0.500 0.250 Co
```

---

# 16
A relaxed Zn4CoBr crystal, computed with PBE-GGA.

**DOS(E_F)**: 3.31 states/eV per cell
**Space group**: F-43m (216)

Geometry as POSCAR:
```
Zn4CoBr
1.0
1.693 0.118 4.945
1.763 4.473 2.053
-2.793 2.476 3.660
Zn Co Br
4 1 1
Direct
0.880 0.373 0.373 Zn
0.373 0.373 0.373 Zn
0.373 0.373 0.880 Zn
0.373 0.880 0.373 Zn
0.000 0.000 0.000 Co
0.750 0.750 0.750 Br
```

---

# 17
A relaxed Zn3CoBr crystal, computed with PBE-GGA.

**DOS(E_F)**: 2.19 states/eV per cell
**Excess energy over the best structure of this formula in the dataset**: 918 meV per atom
**Space group**: Pm-3m (221)

Geometry as POSCAR:
```
Zn3CoBr
1.0
5.089 0.000 0.000
0.000 5.089 0.000
0.000 0.000 5.089
Zn Br Co
3 1 1
Direct
0.000 0.000 0.500 Zn
0.500 0.000 0.000 Zn
0.000 0.500 0.000 Zn
0.000 0.000 0.000 Br
0.500 0.500 0.500 Co
```

---

# 18
A relaxed ZnCoBr2 crystal, computed with PBE-GGA.

**DOS(E_F)**: 2.68 states/eV per cell
**Excess energy over the best structure of this formula in the dataset**: 346 meV per atom
**Space group**: R-3m (166)

Geometry as POSCAR:
```
ZnCoBr2
1.0
2.204 0.000 7.783
-1.102 1.909 7.783
-1.102 -1.909 7.783
Co Br Zn
1 2 1
Direct
0.000 0.000 0.000 Co
0.902 0.902 0.902 Br
0.098 0.098 0.098 Br
0.500 0.500 0.500 Zn
```

---

# 19
A relaxed ZnCoBr4 crystal, computed with PBE-GGA.

**DOS(E_F)**: 9.73 states/eV per cell
**Excess energy over the best structure of this formula in the dataset**: 1418 meV per atom
**Space group**: F-43m (216)

Geometry as POSCAR:
```
ZnCoBr4
1.0
0.000 4.429 4.429
4.429 0.000 4.429
4.429 4.429 0.000
Br Zn Co
4 1 1
Direct
0.376 0.376 0.873 Br
0.376 0.873 0.376 Br
0.376 0.376 0.376 Br
0.873 0.376 0.376 Br
0.000 0.000 0.000 Zn
0.750 0.750 0.750 Co
```

---

# 20
A relaxed ZnCoBr2 crystal, computed with PBE-GGA.

**DOS(E_F)**: 4.48 states/eV per cell
**Excess energy over the best structure of this formula in the dataset**: 93 meV per atom
**Space group**: Cm (8)

Geometry as POSCAR:
```
ZnCoBr2
1.0
-2.476 3.409 1.736
-3.678 0.125 2.687
2.320 1.186 7.030
Br Co Zn
2 1 1
Direct
0.867 0.867 0.631 Br
0.005 0.005 0.127 Br
0.446 0.446 0.399 Co
0.182 0.182 0.344 Zn
```

---

Number 1: E_form (uncorrected) -1.314 eV per atom. Number 2: E_form (uncorrected) -1.186 eV per atom. Number 3: E_form (uncorrected) 0.467 eV per atom. Number 4: E_form (uncorrected) 0.113 eV per atom. Number 5: E_form (uncorrected) 0.022 eV per atom. Number 6: E_form (uncorrected) 0.213 eV per atom. Number 7: E_form (uncorrected) -0.100 eV per atom. Number 8: E_form (uncorrected) -0.606 eV per atom. Number 9: E_form (uncorrected) 0.023 eV per atom. Number 10: E_form (uncorrected) 0.349 eV per atom. Number 11: E_form (uncorrected) 0.410 eV per atom. Number 12: E_form (uncorrected) -0.067 eV per atom. Number 13: E_form (uncorrected) 0.058 eV per atom. Number 14: E_form (uncorrected) 0.284 eV per atom. Number 15: E_form (uncorrected) 0.151 eV per atom. Number 16: E_form (uncorrected) 0.446 eV per atom. Number 17: E_form (uncorrected) 1.265 eV per atom. Number 18: E_form (uncorrected) 0.245 eV per atom. Number 19: E_form (uncorrected) 1.016 eV per atom. Number 20: E_form (uncorrected) -0.008 eV per atom.